1.
Mn2GaOs | PBE | relaxed

Properties
Calculated formation energy   50 meV per atom

Lattice parameters (Å, degrees): 3.807 3.723 3.723 90.00 90.00 90.00
Last column: magnetic moment on the atom in μB.
Fractional coordinates of all 4 atoms:
Ga 0.500 0.000 0.000  -0.08
Mn 0.000 0.000 0.500  2.29
Mn 0.000 0.500 0.000  2.29
Os 0.500 0.500 0.500  0.07

2.
MnGa6Os | PBE | relaxed

Properties
Calculated formation energy   50 meV per atom

Lattice parameters (Å, degrees): 5.414 5.414 5.414 106.26 106.26 106.25
Last column: magnetic moment on the atom in μB.
Fractional coordinates of all 8 atoms:
Ga 0.707 0.227 0.227  -0.04
Ga 0.773 0.773 0.293  -0.04
Ga 0.773 0.293 0.773  -0.04
Ga 0.227 0.707 0.227  -0.04
Ga 0.227 0.227 0.707  -0.04
Ga 0.293 0.773 0.773  -0.04
Os 0.500 0.500 0.500  0.13
Mn 0.000 0.000 0.000  3.03